[1]
The following is a PBE calculation of an optimized crystal structure of TlTe2HI, from Alexandria via LeMat-Bulk.

Unit cell a=4.541 b=4.541 c=7.863 alpha=90.00 beta=90.00 gamma=90.00
Space group P4/mmm (No. 123)
Inequivalent atoms, fractional coordinates:
1 Tl 0.000 0.000 0.000 [1 per cell]
2 Te 0.000 0.500 0.500 [2 per cell]
3 H 0.500 0.500 0.500 [1 per cell]
4 I 0.500 0.500 0.000 [1 per cell]

Output
**Energy relative to the lowest polymorph listed for this composition**: 0.000 eV per atom
**Calculated total energy**: -2.595 eV per atom


[2]
The following is a PBE calculation of an optimized crystal structure of TlTeHI2, from Alexandria via LeMat-Bulk.

Unit cell a=6.085 b=6.085 c=3.970 alpha=90.00 beta=90.00 gamma=90.00
Space group P4/mmm (No. 123)
Inequivalent atoms, fractional coordinates:
1 Tl 0.000 0.000 0.000 [1 per cell]
2 Te 0.500 0.500 0.000 [1 per cell]
3 H 0.500 0.500 0.500 [1 per cell]
4 I 0.000 0.500 0.500 [2 per cell]

Output
**Energy relative to the lowest polymorph listed for this composition**: 0.000 eV per atom
**Calculated total energy**: -2.308 eV per atom